*a*
Here is a geometry-optimized Pr2YHo structure from Alexandria via LeMat-Bulk. Energies are from PBE.

```
8
Lattice="5.846 0.000 0.000 0.000 7.403 0.000 0.000 0.000 6.348" Properties=species:S:1:pos:R:3 pbc="T T T"
Pr 1.462 0.000 1.075
Pr 1.462 3.701 1.075
Pr 4.385 7.403 5.273
Pr 4.385 3.702 5.273
Y 1.462 1.851 4.211
Y 4.385 5.552 2.137
Ho 1.462 5.552 4.231
Ho 4.385 1.851 2.117
```

Summary:
D(E_F): 1.80 states/eV per atom
Space-group type: Pmmn
Size of the total moment: 0.000 μB/atom

*b*
Here is a geometry-optimized Pr2YHo structure from Alexandria via LeMat-Bulk. Energies are from PBE.

```
4
Lattice="5.171 0.000 0.000 0.000 5.171 0.000 0.000 0.000 5.059" Properties=species:S:1:pos:R:3 pbc="T T T"
Pr 0.000 2.585 0.000
Pr 2.585 0.000 0.000
Y 0.000 0.000 2.529
Ho 2.585 2.585 2.529
```

Summary:
D(E_F): 1.57 states/eV per atom
Space-group type: P4/mmm
Size of the total moment: 0.000 μB/atom

Most stable: *b*